PaVCo2 | GGA-PBE | relaxed

```
PaVCo2
1.0
-1.681 1.913 2.464
0.542 -3.052 2.739
3.601 1.676 1.155
Pa Co V
1 2 1
direct
0.500 0.500 0.500 Pa
0.000 0.000 0.500 Co
0.000 0.500 0.000 Co
0.500 0.000 0.000 V
```

Computed properties:
- Symmetry: P4/mmm
- Excess energy over the best structure of this formula in the dataset: 0.050 eV/atom
- DOS(E_F): 4.7 states/eV/cell